# 1
# Sr2TaFe PBE-GGA optimized geometry
# Energy above the most stable polymorph in this dataset: 0.805 eV per atom
# E: -18.68 eV/cell
# Calculated formation energy: 1.25 eV/atom
# Total magnetization: 3.75 μB/cell
data_Sr2TaFe
_chemical_formula_sum 'Sr2 Ta1 Fe1'
_space_group_name_H-M_alt 'P 4/m m m'
_space_group_IT_number 123
_space_group_name_Hall '-P 4 2'
_cell_length_a 5.842
_cell_length_b 5.842
_cell_length_c 3.218
_cell_angle_alpha 90.00
_cell_angle_beta 90.00
_cell_angle_gamma 90.00
loop_
_atom_site_label
_atom_site_type_symbol
_atom_site_fract_x
_atom_site_fract_y
_atom_site_fract_z
_atom_site_occupancy
Sr1 Sr 0.000 0.500 0.000 1
Ta1 Ta 0.000 0.000 0.500 1
Fe1 Fe 0.500 0.500 0.500 1


# 2
# SrTa2Fe PBE-GGA optimized geometry
# Energy above the most stable polymorph in this dataset: 0.550 eV per atom
# E: -119.25 eV/cell
# Calculated formation energy: 1.01 eV/atom
# Total magnetization: 13.42 μB/cell
data_SrTa2Fe
_chemical_formula_sum 'Sr4 Ta8 Fe4'
_space_group_name_H-M_alt 'F -4 3 m'
_space_group_IT_number 216
_space_group_name_Hall 'F -4 2 3'
_cell_length_a 6.858
_cell_length_b 6.858
_cell_length_c 6.858
_cell_angle_alpha 90.00
_cell_angle_beta 90.00
_cell_angle_gamma 90.00
loop_
_atom_site_label
_atom_site_type_symbol
_atom_site_fract_x
_atom_site_fract_y
_atom_site_fract_z
_atom_site_occupancy
Sr1 Sr 0.000 0.000 0.000 1
Ta1 Ta 0.000 0.000 0.500 1
Ta2 Ta 0.250 0.250 0.750 1
Fe1 Fe 0.250 0.250 0.250 1


# 3
# Sr2TaFe PBE-GGA optimized geometry
# Energy above the most stable polymorph in this dataset: 0.717 eV per atom
# E: -19.03 eV/cell
# Calculated formation energy: 1.16 eV/atom
# Total magnetization: 1.71 μB/cell
data_Sr2TaFe
_chemical_formula_sum 'Sr2 Ta1 Fe1'
_space_group_name_H-M_alt 'P 1 2/m 1'
_space_group_IT_number 10
_cell_length_a 3.175
_cell_length_b 5.096
_cell_length_c 6.383
_cell_angle_alpha 90.00
_cell_angle_beta 90.16
_cell_angle_gamma 90.00
loop_
_space_group_symop_operation_xyz
'x,y,z'
'-x,-y,-z'
'-x,y,-z'
'x,-y,z'
loop_
_atom_site_label
_atom_site_type_symbol
_atom_site_fract_x
_atom_site_fract_y
_atom_site_fract_z
_atom_site_occupancy
Sr1 Sr 0.001 0.000 0.255 1
Ta1 Ta 0.500 0.500 0.000 1
Fe1 Fe 0.500 0.500 0.500 1


# 4
# SrTa2Fe PBE-GGA optimized geometry
# Energy above the most stable polymorph in this dataset: 0.616 eV per atom
# E: -59.10 eV/cell
# Calculated formation energy: 1.08 eV/atom
# Total magnetization: 3.71 μB/cell
data_SrTa2Fe
_chemical_formula_sum 'Sr2 Ta4 Fe2'
_space_group_name_H-M_alt 'I 4/m m m'
_space_group_IT_number 139
_space_group_name_Hall '-I 4 2'
_cell_length_a 4.015
_cell_length_b 4.015
_cell_length_c 10.141
_cell_angle_alpha 90.00
_cell_angle_beta 90.00
_cell_angle_gamma 90.00
loop_
_atom_site_label
_atom_site_type_symbol
_atom_site_fract_x
_atom_site_fract_y
_atom_site_fract_z
_atom_site_occupancy
Sr1 Sr 0.000 0.000 0.000 1
Ta1 Ta 0.000 0.500 0.250 1
Fe1 Fe 0.000 0.000 0.500 1


# 5
# SrTa2Fe PBE-GGA optimized geometry
# Energy above the most stable polymorph in this dataset: 0.103 eV per atom
# E: -31.60 eV/cell
# Calculated formation energy: 0.56 eV/atom
# Total magnetization: 1.40 μB/cell
data_SrTa2Fe
_chemical_formula_sum 'Sr1 Ta2 Fe1'
_space_group_name_H-M_alt 'P 4/m m m'
_space_group_IT_number 123
_space_group_name_Hall '-P 4 2'
_cell_length_a 2.985
_cell_length_b 2.985
_cell_length_c 9.158
_cell_angle_alpha 90.00
_cell_angle_beta 90.00
_cell_angle_gamma 90.00
loop_
_atom_site_label
_atom_site_type_symbol
_atom_site_fract_x
_atom_site_fract_y
_atom_site_fract_z
_atom_site_occupancy
Sr1 Sr 0.000 0.000 0.000 1
Ta1 Ta 0.500 0.500 0.327 1
Fe1 Fe 0.000 0.000 0.500 1


# 6
# SrTa2Fe PBE-GGA optimized geometry
# Energy above the most stable polymorph in this dataset: 0.051 eV per atom
# E: -95.42 eV/cell
# Calculated formation energy: 0.51 eV/atom
# Total magnetization: 0.00 μB/cell
data_SrTa2Fe
_chemical_formula_sum 'Sr3 Ta6 Fe3'
_space_group_name_H-M_alt 'R -3 m'
_space_group_IT_number 166
_space_group_name_Hall '-R 3 2"'
_cell_length_a 3.9791
_cell_length_b 3.9791
_cell_length_c 21.1720
_cell_angle_alpha 90.00
_cell_angle_beta 90.00
_cell_angle_gamma 120.00
loop_
_atom_site_label
_atom_site_type_symbol
_atom_site_fract_x
_atom_site_fract_y
_atom_site_fract_z
_atom_site_occupancy
Sr1 Sr 0.0000 0.0000 0.0000 1
Ta1 Ta 0.0000 0.0000 0.2082 1
Fe1 Fe 0.0000 0.0000 0.5000 1